KScIr2 | PBE | relaxed

Cell and atoms, written as POSCAR:
```
KScIr2
1.0
8.7817 0.0000 0.0000
0.0000 2.9574 0.0000
-0.9363 0.0000 7.2960
K Sc Ir
2 2 4
direct
0.0000 0.0000 0.0000
0.5000 0.5000 0.0000
0.0000 0.5000 0.5000
0.5000 0.0000 0.5000
0.2301 0.0000 0.6491
0.2699 0.5000 0.3509
0.7301 0.5000 0.6491
0.7699 0.0000 0.3509
```

Calculated values
- excess energy over the best structure of this formula in the dataset (meV per atom) = 140
- energy relative to the elements (meV per atom) = 107.6
- space group = C2/m, No. 12

Li3PrCd | PBE | relaxed

Cell and atoms, written as POSCAR:
```
Li3PrCd
1.0
6.7918 0.0000 0.0000
-3.3959 5.8819 0.0000
0.0000 0.0000 5.8715
Li Pr Cd
6 2 2
direct
0.1947 0.3894 0.2500
0.1947 0.8053 0.2500
0.3894 0.1947 0.7500
0.6106 0.8053 0.2500
0.8053 0.1947 0.7500
0.8053 0.6106 0.7500
0.3333 0.6667 0.7500
0.6667 0.3333 0.2500
0.0000 0.0000 0.0000
0.0000 0.0000 0.5000
```

Calculated values
- energy relative to the elements (meV per atom) = 47.3
- space group = P6_3/mmc, No. 194

NaScIN2 | PBE | relaxed

Cell and atoms, written as POSCAR:
```
NaScIN2
1.0
4.4170 0.0000 0.0000
0.0000 4.4170 0.0000
0.0000 0.0000 5.2844
Na Sc I N
1 1 1 2
direct
0.0000 0.0000 0.0000
0.5000 0.5000 0.5000
0.0000 0.0000 0.5000
0.0000 0.5000 0.0000
0.5000 0.0000 0.0000
```

Calculated values
- excess energy over the best structure of this formula in the dataset (meV per atom) = 1245
- uncorrected formation energy (eV/atom) = 1.39
- space group = P4/mmm, No. 123

no.,total magnetization (μB/cell)
1,0.00
2,1.95
3,3.01